# 1
12
Lattice="6.2863 0.0000 0.0000 -0.0082 7.2521 0.0000 -2.1152 -0.0035 8.6940" Properties=species:S:1:pos:R:3 comment="PBE-GGA Sm7Dy4Y, relaxed" total_magnetization_mub_per_fu=0.000 formation_enthalpy_0k_ev_per_atom=0.005 sg="P-1, No. 2" pbc="T T T"
Sm 0.0000 0.0000 0.0000
Sm -0.0172 3.6245 5.7874
Sm 1.0463 5.4450 2.9110
Sm 3.1379 1.7960 0.0071
Sm 1.0250 5.4525 8.6868
Sm 3.1166 1.8036 5.7830
Sm 4.1800 3.6240 2.9066
Dy -0.0270 -0.0019 5.7905
Dy 1.0448 1.8014 2.8968
Dy 3.1180 5.4471 5.7972
Dy 4.1899 7.2505 2.9035
Y -0.0041 3.6260 0.0000

***

# 2
7
Lattice="2.0834 1.2029 11.3429 -2.0834 1.2029 11.3429 0.0000 -2.4057 11.3429" Properties=species:S:1:pos:R:3 comment="PBE-GGA Pm2YZn2Ge2, relaxed" total_magnetization_mub_per_fu=0.474 formation_enthalpy_0k_ev_per_atom=-0.480 sg="R-3m, No. 166" pbc="T T T"
Pm 0.0000 0.0000 4.1365
Pm 0.0000 0.0000 29.8922
Y 0.0000 0.0000 0.0000
Zn 0.0000 0.0000 13.3659
Zn 0.0000 0.0000 20.6628
Ge 0.0000 0.0000 9.2798
Ge 0.0000 0.0000 24.7489